# SrMgCd2Ga2

SrMgCd2Ga2 after structural relaxation (GGA-PBE, Alexandria).

POSCAR file:
```
SrMgCd2Ga2
1.0
4.6882 0.0000 0.0000
-2.3441 4.0601 0.0000
0.0000 0.0000 7.5786
Ga Sr Cd Mg
2 1 2 1
Cartesian
2.3441 1.3534 5.5387
0.0000 2.7067 2.0398
0.0000 0.0000 0.0000
0.0000 2.7067 5.2518
2.3441 1.3534 2.3268
0.0000 0.0000 3.7893
```

Values from the calculation:
- Mass density: 5.48 g/cm3

=====

# SrMgCdGa2

SrMgCdGa2 after structural relaxation (GGA-PBE, Alexandria).

POSCAR file:
```
SrMgCdGa2
1.0
-0.6888 -1.8901 4.0537
4.4726 -0.2706 0.6338
-1.9210 6.4102 0.1364
Mg Ga Cd Sr
1 2 1 1
Cartesian
-0.3589 1.7199 3.2669
-0.0228 4.1888 1.9492
1.8857 0.0607 2.8747
2.2218 2.5296 1.5570
0.0000 0.0000 0.0000
```

Values from the calculation:
- Mass density: 5.02 g/cm3

=====

# MgCdGa2Tc

MgCdGa2Tc after structural relaxation (GGA-PBE, Alexandria).

POSCAR file:
```
MgCdGa2Tc
1.0
4.9505 0.0000 0.0000
0.0000 5.2838 0.0000
0.0000 0.0000 4.9505
Cd Ga Tc Mg
1 2 1 1
Cartesian
0.0000 0.0000 0.0000
2.4752 0.0000 0.0000
0.0000 0.0000 2.4752
0.0000 2.6419 0.0000
2.4752 2.6419 2.4752
```

Values from the calculation:
- Mass density: 4.80 g/cm3

=====

# MgTlCdGa

MgTlCdGa after structural relaxation (GGA-PBE, Alexandria).

POSCAR file:
```
MgTlCdGa
1.0
5.0925 0.0000 0.0000
2.5462 4.4102 0.0000
2.5462 1.4701 4.1580
Cd Mg Tl Ga
1 1 1 1
Cartesian
0.0000 0.0000 0.0000
5.0925 2.9401 2.0790
2.5462 1.4701 1.0395
7.6387 4.4102 3.1185
```

Values from the calculation:
- Mass density: 7.31 g/cm3

=====

# TmMgCdGa

TmMgCdGa after structural relaxation (GGA-PBE, Alexandria).

POSCAR file:
```
TmMgCdGa
1.0
4.9716 0.0000 0.0000
2.4858 4.3056 0.0000
2.4858 1.4352 4.0593
Tm Ga Mg Cd
1 1 1 1
Cartesian
4.9716 2.8704 2.0297
2.4858 1.4352 1.0148
0.0000 0.0000 0.0000
7.4574 4.3056 3.0445
```

Values from the calculation:
- Mass density: 7.17 g/cm3

=====

# YMgCdGa

YMgCdGa after structural relaxation (GGA-PBE, Alexandria).

POSCAR file:
```
YMgCdGa
1.0
5.0156 0.0000 0.0000
2.5078 4.3436 0.0000
2.5078 1.4479 4.0952
Y Cd Mg Ga
1 1 1 1
Cartesian
5.0156 2.8958 2.0476
2.5078 1.4479 1.0238
0.0000 0.0000 0.0000
7.5234 4.3436 3.0714
```

Values from the calculation:
- Mass density: 5.50 g/cm3

=====

# YMg2CdGa

YMg2CdGa after structural relaxation (GGA-PBE, Alexandria).

POSCAR file:
```
YMg2CdGa
1.0
-5.7075 0.3178 2.1322
1.7512 -1.4606 4.9055
0.8639 5.8658 1.4382
Mg Y Ga Cd
2 1 1 1
Cartesian
-2.8537 0.1589 1.0661
0.4319 2.9329 0.7191
0.0000 0.0000 0.0000
0.8756 -0.7303 2.4527
-1.5462 2.3615 4.2379
```

Values from the calculation:
- Mass density: 2.64 g/cm3

=====

# Mg5ZnCd2Ga2

Mg5ZnCd2Ga2 after structural relaxation (GGA-PBE, Alexandria).

POSCAR file:
```
Mg5ZnCd2Ga2
1.0
3.0792 0.0000 0.0000
0.0000 11.7752 0.0000
0.0000 0.0000 11.7752
Cd Mg Ga Zn
4 10 4 2
Cartesian
0.0000 8.0690 2.1814
0.0000 3.7062 9.5938
0.0000 9.5938 8.0690
0.0000 2.1814 3.7062
1.5396 0.0000 5.8876
1.5396 5.6575 3.5059
1.5396 11.5451 2.3817
1.5396 3.5059 6.1177
1.5396 5.8876 0.0000
1.5396 2.3817 0.2301
1.5396 9.3935 11.5451
1.5396 8.2693 5.6575
1.5396 0.2301 9.3935
1.5396 6.1177 8.2693
0.0000 4.2216 1.6660
0.0000 1.6660 7.5536
0.0000 10.1092 4.2216
0.0000 7.5536 10.1092
0.0000 0.0000 0.0000
0.0000 5.8876 5.8876
```

Values from the calculation:
- Mass density: 4.29 g/cm3

=====

# Mg2ZnCdGa

Mg2ZnCdGa after structural relaxation (GGA-PBE, Alexandria).

POSCAR file:
```
Mg2ZnCdGa
1.0
-1.0871 2.7711 3.0129
4.0714 -3.2260 4.4361
4.7684 4.2941 -2.2291
Mg Cd Ga Zn
4 2 2 2
Cartesian
1.2917 -0.2923 2.2234
2.5411 2.1225 0.4532
6.4611 4.1315 2.9966
5.2117 1.7167 4.7668
0.1713 2.5252 2.2047
7.5815 1.3140 3.0153
3.7843 4.2729 1.9008
3.9685 -0.4337 3.3192
5.0498 1.6908 1.7553
2.7030 2.1484 3.4647
```

Values from the calculation:
- Mass density: 5.03 g/cm3

=====

# MgZr2CdGa

MgZr2CdGa after structural relaxation (GGA-PBE, Alexandria).

POSCAR file:
```
MgZr2CdGa
1.0
-2.5863 -3.4017 2.7910
3.7791 -0.4132 2.9983
-1.8684 3.7800 2.8759
Cd Zr Ga Mg
1 2 1 1
Cartesian
1.8896 -0.2066 1.4992
-1.2931 -1.7009 1.3955
-0.9342 1.8900 1.4379
-0.3378 -0.0174 4.3326
0.0000 0.0000 0.0000
```

Values from the calculation:
- Mass density: 5.12 g/cm3

=====

# MgZrCdGa2

MgZrCdGa2 after structural relaxation (GGA-PBE, Alexandria).

POSCAR file:
```
MgZrCdGa2
1.0
-2.4617 1.5926 -3.8736
-0.5098 -4.9828 -1.7247
-4.1620 -0.4287 2.4687
Ga Zr Cd Mg
2 1 1 1
Cartesian
-1.2308 0.7963 -1.9368
-2.0810 -0.2143 1.2344
-0.2549 -2.4914 -0.8623
-3.5667 -1.9094 -1.5648
0.0000 0.0000 0.0000
```

Values from the calculation:
- Mass density: 4.88 g/cm3

=====

# MgZrCdGa

MgZrCdGa after structural relaxation (GGA-PBE, Alexandria).

POSCAR file:
```
MgZrCdGa
1.0
-2.7861 -3.0228 0.1294
1.5591 -1.5906 -3.5879
2.8887 -2.5601 2.3903
Zr Cd Mg Ga
1 1 1 1
Cartesian
0.0513 -2.7915 1.2598
0.0000 0.0000 0.0000
-0.6135 -2.3067 -1.7292
2.2239 -2.0754 -0.5988
```

Values from the calculation:
- Mass density: 6.27 g/cm3

=====

Result set for calculated formation energy: -0.254, -0.359, 1.071, 0.048, -0.339, -0.361, 0.854, -0.042, -0.067, 0.896, 0.690, -0.304 eV per atom, one per record in the order listed.